Entry from Alexandria: a relaxed structure of Fe2AgW (GGA-PBE).

a b c (Å): 2.6480 4.0946 5.3671
angles (deg): 90.00 100.35 90.00
Closest atoms and distances in Å follow each position.
Space group Pm (No. 6)
Inequivalent atoms, fractional coordinates:
Fe: 0.0000 0.0000 0.0000 x1  1 W 2.48, 4 Fe 2.51-2.65, 2 Ag 2.72
Fe: 0.3922 0.5000 0.2276 x1  4 Fe 2.51-2.65, 2 W 2.57, 2 Ag 2.64-2.74
Ag: 0.4649 0.5000 0.7435 x1  6 Fe 2.64-2.87, 2 Ag 2.65, 4 W 2.89-2.91
W: 0.8654 0.0000 0.4454 x1  3 Fe 2.48-2.57, 2 W 2.65

Values from the calculation:
Energy above the most stable polymorph in this dataset in kJ per mole of atoms: 12.2